1.
Here is a relaxed structure of Hf2AlRh from the Alexandria database. Energies are from PBE-GGA.

a = 4.382 Å, b = 4.382 Å, c = 5.335 Å
α = 65.74°, β = 65.74°, γ = 59.98°
Element x y z (fractional)
Hf (0.026, 0.026, 0.922)
Hf (0.232, 0.232, 0.305)
Rh (0.437, 0.437, 0.689)
Al (0.805, 0.805, 0.585)

Calculated values
calculated density = 10.35 g/cm³
SG = R3m
DFT formation energy = -0.42 eV/atom

2.
Here is a relaxed structure of Li8ThSe6 from the Alexandria database. Energies are from PBE-GGA.

a = 7.245 Å, b = 7.245 Å, c = 8.012 Å
α = 63.12°, β = 63.12°, γ = 60.00°
Element x y z (fractional)
Li (0.118, 0.470, 0.629)
Se (0.592, 0.915, 0.245)
Se (0.915, 0.249, 0.245)
Li (0.784, 0.118, 0.629)
Se (0.408, 0.085, 0.755)
Li (0.882, 0.530, 0.371)
Se (0.751, 0.408, 0.755)
Li (0.216, 0.882, 0.371)
Li (0.530, 0.216, 0.371)
Li (0.470, 0.784, 0.629)
Th (0.000, 0.000, 0.000)
Se (0.249, 0.592, 0.245)
Se (0.085, 0.751, 0.755)
Li (0.336, 0.336, 0.993)
Li (0.664, 0.664, 0.007)

Calculated values
calculated density = 4.07 g/cm³
SG = R-3
formation energy without anion corrections = -20.35 eV per formula unit

3.
Here is a relaxed structure of NiSnSb2 from the Alexandria database. Energies are from PBE-GGA.

a = 3.744 Å, b = 6.368 Å, c = 8.066 Å
α = 90.00°, β = 90.00°, γ = 107.83°
Element x y z (fractional)
Sb (0.645, 0.302, 0.443)
Ni (0.259, 0.520, 0.250)
Ni (0.741, 0.480, 0.750)
Sb (0.645, 0.302, 0.057)
Sn (0.943, 0.865, 0.250)
Sb (0.355, 0.698, 0.943)
Sb (0.355, 0.698, 0.557)
Sn (0.057, 0.135, 0.750)

Calculated values
calculated density = 7.64 g/cm³
SG = P2_1/m
formation energy without anion corrections = 0.01 eV per formula unit

4.
Here is a relaxed structure of CdAsP2 from the Alexandria database. Energies are from PBE-GGA.

a = 3.348 Å, b = 4.663 Å, c = 4.661 Å
α = 90.00°, β = 90.00°, γ = 90.00°
Element x y z (fractional)
As (0.500, 0.000, 0.500)
P (0.000, 0.000, 0.000)
Cd (0.000, 0.500, 0.500)
P (0.500, 0.500, 0.000)

Calculated values
calculated density = 5.69 g/cm³
SG = Pmmm
ΔE to the lowest computed polymorph = 464 meV/atom
DFT formation energy = 0.61 eV/atom

5.
Here is a relaxed structure of La2AgO from the Alexandria database. Energies are from PBE-GGA.

a = 3.902 Å, b = 3.902 Å, c = 7.546 Å
α = 75.02°, β = 75.02°, γ = 60.00°
Element x y z (fractional)
La (0.271, 0.271, 0.188)
O (0.000, 0.000, 0.000)
La (0.729, 0.729, 0.812)
Ag (0.500, 0.500, 0.500)

Calculated values
calculated density = 7.02 g/cm³
SG = R-3m
formation energy without anion corrections = -5.44 eV per formula unit

6.
Here is a relaxed structure of HfAsPbO6 from the Alexandria database. Energies are from PBE-GGA.

a = 5.317 Å, b = 5.317 Å, c = 9.848 Å
α = 90.00°, β = 90.00°, γ = 120.00°
Element x y z (fractional)
Hf (0.333, 0.667, 0.750)
Hf (0.667, 0.333, 0.250)
Pb (0.000, 0.000, 0.000)
As (0.667, 0.333, 0.750)
O (0.389, 0.359, 0.856)
O (0.970, 0.359, 0.644)
O (0.389, 0.030, 0.644)
As (0.333, 0.667, 0.250)
O (0.611, 0.641, 0.144)
O (0.970, 0.611, 0.856)
O (0.359, 0.389, 0.356)
O (0.030, 0.641, 0.356)
O (0.611, 0.970, 0.356)
O (0.359, 0.970, 0.144)
O (0.030, 0.389, 0.144)
O (0.641, 0.030, 0.856)
O (0.641, 0.611, 0.644)
Pb (0.000, 0.000, 0.500)

Calculated values
calculated density = 7.67 g/cm³
SG = P-31c
formation energy without anion corrections = -16.57 eV per formula unit

7.
Here is a relaxed structure of Ag8PdAu6 from the Alexandria database. Energies are from PBE-GGA.

a = 7.913 Å, b = 7.913 Å, c = 7.913 Å
α = 52.50°, β = 52.50°, γ = 52.50°
Element x y z (fractional)
Pd (0.000, 0.000, 0.000)
Au (0.617, 0.138, 0.363)
Au (0.383, 0.862, 0.637)
Ag (0.123, 0.632, 0.848)
Ag (0.877, 0.368, 0.152)
Ag (0.750, 0.750, 0.750)
Au (0.363, 0.617, 0.138)
Ag (0.250, 0.250, 0.250)
Au (0.138, 0.363, 0.617)
Au (0.862, 0.637, 0.383)
Ag (0.848, 0.123, 0.632)
Au (0.637, 0.383, 0.862)
Ag (0.632, 0.848, 0.123)
Ag (0.152, 0.877, 0.368)
Ag (0.368, 0.152, 0.877)

Calculated values
calculated density = 12.37 g/cm³
SG = R-3
ΔE to the lowest computed polymorph = 99 meV/atom
DFT formation energy = 0.11 eV/atom

8.
Here is a relaxed structure of Pm2GeSe from the Alexandria database. Energies are from PBE-GGA.

a = 3.534 Å, b = 3.534 Å, c = 7.792 Å
α = 90.00°, β = 90.00°, γ = 90.00°
Element x y z (fractional)
Se (0.500, 0.500, 0.500)
Ge (0.500, 0.500, 0.000)
Pm (0.000, 0.000, 0.745)
Pm (0.000, 0.000, 0.255)

Calculated values
calculated density = 7.53 g/cm³
SG = P4/mmm
ΔE to the lowest computed polymorph = 302 meV/atom
formation energy without anion corrections = -4.46 eV per formula unit